[1]
Computed, not measured: a relaxed PuMnRh crystal at the GGA-PBE level of DFT.

## Properties
* total DFT energy (no corrections): -10.421 eV/atom
* E_form: -0.14 eV per atom

POSCAR file:
```
PuMnRh
1.0
-2.5412 2.7600 3.7002
2.5412 -2.7600 3.7002
2.5412 2.7600 -3.7002
Pu Mn Rh
2 2 2
Direct
0.3806 0.1306 0.2500
0.6194 0.8694 0.7500
0.0000 0.0000 0.5000
0.0000 0.5000 0.0000
0.0000 0.5000 0.5000
0.5000 0.5000 0.0000
```

=====

[2]
Computed, not measured: a relaxed Pu4MnRh3 crystal at the GGA-PBE level of DFT.

## Properties
* total DFT energy (no corrections): -11.364 eV/atom
* E_form: -0.29 eV per atom

POSCAR file:
```
Pu4MnRh3
1.0
-2.4338 2.4338 6.7285
2.4338 -2.4338 6.7285
2.4338 2.4338 -6.7285
Pu Mn Rh
4 1 3
Direct
0.1254 0.6254 0.5000
0.3746 0.8746 0.5000
0.6254 0.1254 0.5000
0.8746 0.3746 0.5000
0.0000 0.0000 0.0000
0.2433 0.2433 0.0000
0.5000 0.5000 0.0000
0.7567 0.7567 0.0000
```

=====

[3]
Computed, not measured: a relaxed Pu6MnRh crystal at the GGA-PBE level of DFT.

## Properties
* total DFT energy (no corrections): -12.871 eV/atom
* E_form: -0.06 eV per atom

POSCAR file:
```
Pu6MnRh
1.0
-2.2640 2.2640 7.4562
2.2640 -2.2640 7.4562
2.2640 2.2640 -7.4562
Pu Mn Rh
6 1 1
Direct
0.1239 0.6239 0.5000
0.2060 0.2060 0.0000
0.3761 0.8761 0.5000
0.6239 0.1239 0.5000
0.7940 0.7940 0.0000
0.8761 0.3761 0.5000
0.0000 0.0000 0.0000
0.5000 0.5000 0.0000
```

=====

[4]
Computed, not measured: a relaxed Pu4MnRh2 crystal at the GGA-PBE level of DFT.

## Properties
* total DFT energy (no corrections): -11.783 eV/atom
* E_form: -0.18 eV per atom

POSCAR file:
```
Pu4MnRh2
1.0
-4.2083 4.2083 4.2116
4.2083 -4.2083 4.2116
4.2083 4.2083 -4.2116
Pu Mn Rh
8 2 4
Direct
0.1285 0.0152 0.7460
0.1325 0.5192 0.7540
0.2692 0.3825 0.2540
0.4808 0.2348 0.6133
0.6175 0.8715 0.8867
0.6215 0.8675 0.3867
0.7652 0.3785 0.2460
0.9848 0.7308 0.1133
0.2500 0.7500 0.5000
0.5000 0.5000 0.0000
0.3750 0.0056 0.1306
0.7556 0.6250 0.6306
0.8750 0.2444 0.8694
0.9944 0.1250 0.3694
```

=====

[5]
Computed, not measured: a relaxed PuMn2Rh crystal at the GGA-PBE level of DFT.

## Properties
* total DFT energy (no corrections): -10.170 eV/atom
* E_form: -0.16 eV per atom

POSCAR file:
```
PuMn2Rh
1.0
3.9963 0.0000 0.0000
0.0000 3.9963 0.0000
0.0000 0.0000 4.0649
Pu Mn Rh
1 2 1
Direct
0.0000 0.0000 0.0000
0.0000 0.5000 0.5000
0.5000 0.0000 0.5000
0.5000 0.5000 0.0000
```

=====

[6]
Computed, not measured: a relaxed Pu2MnRh3 crystal at the GGA-PBE level of DFT.

## Properties
* total DFT energy (no corrections): -10.371 eV/atom
* E_form: -0.39 eV per atom

POSCAR file:
```
Pu2MnRh3
1.0
2.7655 1.5966 4.0142
-2.7655 1.5966 4.0142
0.0000 -3.1933 4.0142
Pu Mn Rh
2 1 3
Direct
0.1223 0.1223 0.1223
0.8777 0.8777 0.8777
0.5000 0.5000 0.5000
0.0000 0.5000 0.5000
0.5000 0.0000 0.5000
0.5000 0.5000 0.0000
```

=====

[7]
Computed, not measured: a relaxed PuMnRh crystal at the GGA-PBE level of DFT.

## Properties
* total DFT energy (no corrections): -10.202 eV/atom
* E_form: 0.08 eV per atom

POSCAR file:
```
PuMnRh
1.0
-1.5757 1.5757 5.7421
1.5757 -1.5757 5.7421
1.5757 1.5757 -5.7421
Pu Mn Rh
1 1 1
Direct
0.0000 0.0000 0.0000
0.2903 0.2903 0.0000
0.6712 0.6712 0.0000
```

=====

[8]
Computed, not measured: a relaxed Pu3Mn2Rh crystal at the GGA-PBE level of DFT.

## Properties
* total DFT energy (no corrections): -11.398 eV/atom
* E_form: 0.05 eV per atom

POSCAR file:
```
Pu3Mn2Rh
1.0
3.3886 0.0000 0.0000
0.0000 3.3886 0.0000
0.0000 0.0000 10.3447
Pu Mn Rh
3 2 1
Direct
0.0000 0.0000 0.0000
0.0000 0.0000 0.3353
0.0000 0.0000 0.6647
0.5000 0.5000 0.1312
0.5000 0.5000 0.8688
0.5000 0.5000 0.5000
```